Below is a relaxed structure of SrHfMoO6, with properties calculated at the GGA+U level.

abc: 5.0284 5.0284 9.8796
angles: 90.00 90.00 90.00
Atoms (fractional coordinates):
1 Sr 0.0000 0.0000 0.0000
2 Sr 0.5000 0.5000 0.5000
3 Hf 0.0000 0.0000 0.3348
4 Hf 0.5000 0.5000 0.8348
5 Mo 0.0000 0.0000 0.6679
6 Mo 0.5000 0.5000 0.1679
7 O 0.1680 0.1680 0.5086
8 O 0.2117 0.2117 0.7960
9 O 0.2304 0.2304 0.1952
10 O 0.2696 0.7304 0.6952
11 O 0.2883 0.7117 0.2960
12 O 0.3320 0.6680 0.0086
13 O 0.6680 0.3320 0.0086
14 O 0.7117 0.2883 0.2960
15 O 0.7304 0.2696 0.6952
16 O 0.7696 0.7696 0.1952
17 O 0.7883 0.7883 0.7960
18 O 0.8320 0.8320 0.5086

Properties
- E_tot (eV/cell) = -142.10